Record 1
CuTe2As | PBE-GGA | optimized geometry

Unit cell a=6.0268 b=6.0268 c=6.0268 alpha=142.53 beta=89.46 gamma=102.46
Closest atoms and distances in Å follow each position.
Sites, in units of the cell vectors:
As (0.7500, 0.2500, 0.5000)  4 Te 2.79
Cu (0.2500, 0.7500, 0.5000)  4 Te 2.62
Te (0.0157, 0.0157, 0.0000)  2 Cu 2.62, 2 As 2.79
Te (0.4843, 0.4843, 0.0000)  2 Cu 2.62, 2 As 2.79

As for the formation energy from raw total energies: 322 meV/atom. The total moment comes out at 0.0 μB/cell.



Record 2
Cu2NiAgHg | PBE-GGA | optimized geometry

Unit cell a=4.7085 b=4.7321 c=4.7085 alpha=90.00 beta=90.00 gamma=90.00
Closest atoms and distances in Å follow each position.
Sites, in units of the cell vectors:
Ni (0.0000, 0.5000, 0.0000)  2 Ag 2.37
Cu (0.0000, 0.0000, 0.5000)  2 Ag 2.35
Cu (0.5000, 0.0000, 0.0000)  2 Ag 2.35
Hg (0.5000, 0.5000, 0.5000)  4 Ni 3.33, 8 Cu 3.34
Ag (0.0000, 0.0000, 0.0000)  4 Cu 2.35, 2 Ni 2.37

The formation energy is 0.995 eV per atom. The calculation puts the energy above the lowest structure with this stoichiometry at 0.000 eV/f.u. The total moment comes out at 0.3 μB/cell.



Values of Fermi-level density of states, in order: 2.61, 3.89, all in states/eV per cell.